No. 1
Computed, not measured: crystalline Nd7Tl2Sn at its relaxed geometry at the PBE-GGA level of DFT.

The space group is P3m1 (No. 156) and the conventional cell measures 5.4844, 5.4844 and 12.9427 Å, with angles of 90.00, 90.00 and 120.00 degrees. The asymmetric unit holds Nd at (0.0000, 0.0000, 0.0000), Nd at (0.0000, 0.0000, 0.2558), Nd at (0.0000, 0.0000, 0.7345), Nd at (0.3333, 0.6667, 0.4074), Nd at (0.3333, 0.6667, 0.8727), Nd at (0.6667, 0.3333, 0.1199), Nd at (0.6667, 0.3333, 0.5823), Tl at (0.0000, 0.0000, 0.4951), Tl at (0.6667, 0.3333, 0.8517) and Sn at (0.3333, 0.6667, 0.1428).

For the formation energy, the calculation gives -0.188 eV per atom. The magnetic moment comes out at 0.03 μB/atom. For the density of states at the Fermi level, the calculation gives 14.5 states/eV/f.u.

=====

No. 2
Computed, not measured: crystalline Nd12Tl2Sn5 at its relaxed geometry at the PBE-GGA level of DFT.

The space group is C2/m (No. 12) and the conventional cell measures 18.1812, 7.1270 and 10.6067 Å, with angles of 90.00, 104.17 and 90.00 degrees. The asymmetric unit holds Nd at (0.0121, 0.0000, 0.2596), Nd at (0.0939, 0.5000, 0.8044), Nd at (0.1483, 0.2396, 0.5576), Nd at (0.1782, 0.2438, 0.0949), Tl at (0.0000, 0.2773, 0.0000), Sn at (0.0000, 0.5000, 0.5000), Sn at (0.1678, 0.0000, 0.8232) and Sn at (0.2036, 0.0000, 0.3488).

For the formation energy, the calculation gives -0.321 eV per atom. The magnetic moment comes out at 0.01 μB/atom. For the density of states at the Fermi level, the calculation gives 21.5 states/eV/f.u.

=====

No. 3
Computed, not measured: crystalline Nd3TlSn2 at its relaxed geometry at the PBE-GGA level of DFT.

The space group is Pnma (No. 62) and the conventional cell measures 12.8656, 4.7441 and 12.1123 Å, with angles of 90.00, 90.00 and 90.00 degrees. The asymmetric unit holds Nd at (0.0392, 0.2500, 0.1221), Nd at (0.1334, 0.7500, 0.5708), Nd at (0.2009, 0.2500, 0.8140), Tl at (0.1467, 0.2500, 0.3573), Sn at (0.0064, 0.7500, 0.3216) and Sn at (0.1827, 0.7500, 0.0285).

For the formation energy, the calculation gives -0.561 eV per atom. The magnetic moment comes out at 0.00 μB/atom. The relative energy among the computed polymorphs comes out at 0.000 eV per formula unit. For the density of states at the Fermi level, the calculation gives 3.8 states/eV/f.u.

=====

No. 4
Computed, not measured: crystalline Nd8TlSn2 at its relaxed geometry at the PBE-GGA level of DFT.

The space group is C2/m (No. 12) and the conventional cell measures 19.9801, 5.2713 and 7.0803 Å, with angles of 90.00, 103.95 and 90.00 degrees. The asymmetric unit holds Nd at (0.0183, 0.0000, 0.2636), Nd at (0.0933, 0.5000, 0.9809), Nd at (0.1599, 0.5000, 0.4987), Nd at (0.2133, 0.0000, 0.8240), Tl at (0.0000, 0.5000, 0.5000) and Sn at (0.1803, 0.0000, 0.2544).

For the formation energy, the calculation gives -0.323 eV per atom. The magnetic moment comes out at 0.00 μB/atom. For the density of states at the Fermi level, the calculation gives 13.2 states/eV/f.u.